w:
VASP calculation (GGA-PBE) on crystalline La6Pm2Mg at its relaxed geometry.

Cell lengths 11.801, 11.801, 6.324 Å; angles 105.52, 105.52, 47.98 degrees
Element x y z (fractional)
La (0.002, 0.152, 0.427)
La (0.083, 0.581, 0.082)
La (0.152, 0.002, 0.927)
La (0.346, 0.499, 0.770)
La (0.419, 0.917, 0.418)
La (0.499, 0.346, 0.270)
La (0.501, 0.654, 0.730)
La (0.581, 0.083, 0.582)
La (0.654, 0.501, 0.230)
La (0.848, 0.998, 0.073)
La (0.917, 0.419, 0.918)
La (0.998, 0.848, 0.573)
Pm (0.171, 0.327, 0.435)
Pm (0.327, 0.171, 0.935)
Pm (0.673, 0.829, 0.065)
Pm (0.829, 0.673, 0.565)
Mg (0.251, 0.749, 0.250)
Mg (0.749, 0.251, 0.750)

Summary:
Magnetic moment ... 0.0 Bohr magnetons per cell

x:
VASP calculation (GGA-PBE) on crystalline La6Pm2Mg at its relaxed geometry.

Cell lengths 10.020, 10.020, 3.661 Å; angles 90.00, 90.00, 120.00 degrees
Element x y z (fractional)
La (0.000, 0.297, 0.000)
La (0.000, 0.639, 0.500)
La (0.297, 0.000, 0.000)
La (0.361, 0.361, 0.500)
La (0.639, 0.000, 0.500)
La (0.703, 0.703, 0.000)
Pm (0.333, 0.667, 0.000)
Pm (0.667, 0.333, 0.000)
Mg (0.000, 0.000, 0.500)

Summary:
Magnetic moment ... 0.0 Bohr magnetons per cell

Most stable structure among those shown: x. Next: +0.039 eV/atom.